No. 1
Density functional theory data (PBE with a Hubbard U) for crystalline V3TcF at its relaxed geometry.

Calculated values
**E above lowest polymorph**: 0.000 eV per atom

CIF file:
```
data_V3TcF
_chemical_formula_sum 'V3 Tc1 F1'
_cell_length_a 4.275
_cell_length_b 4.275
_cell_length_c 4.275
_cell_angle_alpha 90.00
_cell_angle_beta 90.00
_cell_angle_gamma 90.00
_symmetry_space_group_name_H-M 'P 1'
_symmetry_Int_Tables_number 1
_symmetry_space_group_name_Hall 'P 1'
loop_
_atom_site_label
_atom_site_type_symbol
_atom_site_fract_x
_atom_site_fract_y
_atom_site_fract_z
F1 F 0.000 0.000 0.000
Tc1 Tc 0.500 0.500 0.500
V1 V 0.000 0.500 0.000
V2 V 0.000 0.000 0.500
V3 V 0.500 0.000 0.000
```

=====

No. 2
Density functional theory data (PBE with a Hubbard U) for crystalline V3TcF at its relaxed geometry.

Calculated values
**E above lowest polymorph**: 0.775 eV per atom

CIF file:
```
data_V3TcF
_chemical_formula_sum 'V3 Tc1 F1'
_cell_length_a 4.838
_cell_length_b 4.838
_cell_length_c 4.838
_cell_angle_alpha 90.00
_cell_angle_beta 90.00
_cell_angle_gamma 90.00
_symmetry_space_group_name_H-M 'P 1'
_symmetry_Int_Tables_number 1
_symmetry_space_group_name_Hall 'P 1'
loop_
_atom_site_label
_atom_site_type_symbol
_atom_site_fract_x
_atom_site_fract_y
_atom_site_fract_z
V1 V 0.000 0.500 0.000
V2 V 0.000 0.000 0.500
V3 V 0.500 0.000 0.000
F1 F 0.500 0.500 0.500
Tc1 Tc 0.000 0.000 0.000
```

=====

No. 3
Density functional theory data (PBE with a Hubbard U) for crystalline VTc2F at its relaxed geometry.

Calculated values
**E above lowest polymorph**: 0.079 eV per atom

CIF file:
```
data_VTc2F
_chemical_formula_sum 'V1 Tc2 F1'
_cell_length_a 4.234
_cell_length_b 4.234
_cell_length_c 4.234
_cell_angle_alpha 60.00
_cell_angle_beta 60.00
_cell_angle_gamma 60.00
_symmetry_space_group_name_H-M 'P 1'
_symmetry_Int_Tables_number 1
_symmetry_space_group_name_Hall 'P 1'
loop_
_atom_site_label
_atom_site_type_symbol
_atom_site_fract_x
_atom_site_fract_y
_atom_site_fract_z
V1 V 0.500 0.500 0.500
F1 F 0.000 0.000 0.000
Tc1 Tc 0.250 0.250 0.250
Tc2 Tc 0.750 0.750 0.750
```

=====

No. 4
Density functional theory data (PBE with a Hubbard U) for crystalline VTcF3 at its relaxed geometry.

Calculated values
**E above lowest polymorph**: 0.000 eV per atom

CIF file:
```
data_VTcF3
_chemical_formula_sum 'V1 Tc1 F3'
_cell_length_a 4.194
_cell_length_b 4.194
_cell_length_c 4.194
_cell_angle_alpha 90.00
_cell_angle_beta 90.00
_cell_angle_gamma 90.00
_symmetry_space_group_name_H-M 'P 1'
_symmetry_Int_Tables_number 1
_symmetry_space_group_name_Hall 'P 1'
loop_
_atom_site_label
_atom_site_type_symbol
_atom_site_fract_x
_atom_site_fract_y
_atom_site_fract_z
F1 F 0.500 0.000 0.000
F2 F 0.000 0.000 0.500
Tc1 Tc 0.500 0.500 0.500
F3 F 0.000 0.500 0.000
V1 V 0.000 0.000 0.000
```

=====

No. 5
Density functional theory data (PBE with a Hubbard U) for crystalline VTcF3 at its relaxed geometry.

Calculated values
**E above lowest polymorph**: 0.623 eV per atom

CIF file:
```
data_VTcF3
_chemical_formula_sum 'V1 Tc1 F3'
_cell_length_a 4.213
_cell_length_b 4.213
_cell_length_c 4.213
_cell_angle_alpha 90.00
_cell_angle_beta 90.00
_cell_angle_gamma 90.00
_symmetry_space_group_name_H-M 'P 1'
_symmetry_Int_Tables_number 1
_symmetry_space_group_name_Hall 'P 1'
loop_
_atom_site_label
_atom_site_type_symbol
_atom_site_fract_x
_atom_site_fract_y
_atom_site_fract_z
V1 V 0.500 0.500 0.500
F1 F 0.000 0.500 0.000
F2 F 0.500 0.000 0.000
F3 F 0.000 0.000 0.500
Tc1 Tc 0.000 0.000 0.000
```

=====

No. 6
Density functional theory data (PBE with a Hubbard U) for crystalline V2TcF2 at its relaxed geometry.

Calculated values
**E above lowest polymorph**: 0.233 eV per atom

CIF file:
```
data_V2TcF2
_chemical_formula_sum 'V2 Tc1 F2'
_cell_length_a 4.353
_cell_length_b 4.353
_cell_length_c 5.121
_cell_angle_alpha 64.85
_cell_angle_beta 64.85
_cell_angle_gamma 90.00
_symmetry_space_group_name_H-M 'P 1'
_symmetry_Int_Tables_number 1
_symmetry_space_group_name_Hall 'P 1'
loop_
_atom_site_label
_atom_site_type_symbol
_atom_site_fract_x
_atom_site_fract_y
_atom_site_fract_z
V1 V 0.750 0.250 0.500
F1 F 0.315 0.315 0.369
V2 V 0.250 0.750 0.500
Tc1 Tc 0.000 0.000 0.000
F2 F 0.685 0.685 0.631
```

=====

No. 7
Density functional theory data (PBE with a Hubbard U) for crystalline V2TcF2 at its relaxed geometry.

Calculated values
**E above lowest polymorph**: 0.000 eV per atom

CIF file:
```
data_V2TcF2
_chemical_formula_sum 'V4 Tc2 F4'
_cell_length_a 7.305
_cell_length_b 7.305
_cell_length_c 2.826
_cell_angle_alpha 90.00
_cell_angle_beta 90.00
_cell_angle_gamma 90.00
_symmetry_space_group_name_H-M 'P 1'
_symmetry_Int_Tables_number 1
_symmetry_space_group_name_Hall 'P 1'
loop_
_atom_site_label
_atom_site_type_symbol
_atom_site_fract_x
_atom_site_fract_y
_atom_site_fract_z
V1 V 0.742 0.758 0.500
Tc1 Tc 0.500 0.500 0.000
V2 V 0.242 0.742 0.500
F1 F 0.385 0.885 0.000
Tc2 Tc 0.000 0.000 0.000
V3 V 0.758 0.258 0.500
F2 F 0.615 0.115 0.000
F3 F 0.115 0.385 0.000
F4 F 0.885 0.615 0.000
V4 V 0.258 0.242 0.500
```

=====

No. 8
Density functional theory data (PBE with a Hubbard U) for crystalline VTc2F at its relaxed geometry.

Calculated values
**E above lowest polymorph**: 0.000 eV per atom

CIF file:
```
data_VTc2F
_chemical_formula_sum 'V2 Tc4 F2'
_cell_length_a 7.680
_cell_length_b 7.680
_cell_length_c 5.821
_cell_angle_alpha 48.73
_cell_angle_beta 48.73
_cell_angle_gamma 90.00
_symmetry_space_group_name_H-M 'P 1'
_symmetry_Int_Tables_number 1
_symmetry_space_group_name_Hall 'P 1'
loop_
_atom_site_label
_atom_site_type_symbol
_atom_site_fract_x
_atom_site_fract_y
_atom_site_fract_z
V1 V 0.750 0.250 0.500
F1 F 0.500 0.500 0.000
Tc1 Tc 0.198 0.625 0.250
Tc2 Tc 0.875 0.802 0.750
Tc3 Tc 0.552 0.125 0.250
V2 V 0.000 0.000 0.000
F2 F 0.250 0.750 0.500
Tc4 Tc 0.375 0.448 0.750
```

=====

No. 9
Density functional theory data (PBE with a Hubbard U) for crystalline VZnTcF2 at its relaxed geometry.

CIF file:
```
data_VZnTcF2
_chemical_formula_sum 'V1 Zn1 Tc1 F2'
_cell_length_a 3.806
_cell_length_b 6.100
_cell_length_c 3.806
_cell_angle_alpha 90.00
_cell_angle_beta 90.00
_cell_angle_gamma 90.00
_symmetry_space_group_name_H-M 'P 1'
_symmetry_Int_Tables_number 1
_symmetry_space_group_name_Hall 'P 1'
loop_
_atom_site_label
_atom_site_type_symbol
_atom_site_fract_x
_atom_site_fract_y
_atom_site_fract_z
V1 V 0.000 0.000 0.000
Tc1 Tc 0.500 0.500 0.500
F1 F 0.500 0.000 0.000
Zn1 Zn 0.000 0.500 0.000
F2 F 0.000 0.000 0.500
```

=====

No. 10
Density functional theory data (PBE with a Hubbard U) for crystalline TcWF2 at its relaxed geometry.

Calculated values
**E above lowest polymorph**: 0.000 eV per atom

CIF file:
```
data_TcWF2
_chemical_formula_sum 'Tc1 W1 F2'
_cell_length_a 8.500
_cell_length_b 8.500
_cell_length_c 8.500
_cell_angle_alpha 18.50
_cell_angle_beta 18.50
_cell_angle_gamma 18.50
_symmetry_space_group_name_H-M 'P 1'
_symmetry_Int_Tables_number 1
_symmetry_space_group_name_Hall 'P 1'
loop_
_atom_site_label
_atom_site_type_symbol
_atom_site_fract_x
_atom_site_fract_y
_atom_site_fract_z
F1 F 0.081 0.081 0.081
W1 W 0.000 0.000 0.000
Tc1 Tc 0.500 0.500 0.500
F2 F 0.919 0.919 0.919
```

=====

No. 11
Density functional theory data (PBE with a Hubbard U) for crystalline TcWF2 at its relaxed geometry.

Calculated values
**E above lowest polymorph**: 0.089 eV per atom

CIF file:
```
data_TcWF2
_chemical_formula_sum 'Tc1 W1 F2'
_cell_length_a 8.621
_cell_length_b 8.621
_cell_length_c 8.621
_cell_angle_alpha 18.08
_cell_angle_beta 18.08
_cell_angle_gamma 18.08
_symmetry_space_group_name_H-M 'P 1'
_symmetry_Int_Tables_number 1
_symmetry_space_group_name_Hall 'P 1'
loop_
_atom_site_label
_atom_site_type_symbol
_atom_site_fract_x
_atom_site_fract_y
_atom_site_fract_z
Tc1 Tc 0.000 0.000 0.000
F1 F 0.921 0.921 0.921
W1 W 0.500 0.500 0.500
F2 F 0.079 0.079 0.079
```

=====

No. 12
Density functional theory data (PBE with a Hubbard U) for crystalline TcWF2 at its relaxed geometry.

Calculated values
**E above lowest polymorph**: 0.760 eV per atom

CIF file:
```
data_TcWF2
_chemical_formula_sum 'Tc1 W1 F2'
_cell_length_a 4.252
_cell_length_b 4.252
_cell_length_c 4.252
_cell_angle_alpha 60.00
_cell_angle_beta 60.00
_cell_angle_gamma 60.00
_symmetry_space_group_name_H-M 'P 1'
_symmetry_Int_Tables_number 1
_symmetry_space_group_name_Hall 'P 1'
loop_
_atom_site_label
_atom_site_type_symbol
_atom_site_fract_x
_atom_site_fract_y
_atom_site_fract_z
W1 W 0.500 0.500 0.500
Tc1 Tc 0.000 0.000 0.000
F1 F 0.250 0.250 0.250
F2 F 0.750 0.750 0.750
```

=====

No. 13
Density functional theory data (PBE with a Hubbard U) for crystalline TcWF2 at its relaxed geometry.

Calculated values
**E above lowest polymorph**: 0.159 eV per atom

CIF file:
```
data_TcWF2
_chemical_formula_sum 'Tc2 W2 F4'
_cell_length_a 3.645
_cell_length_b 3.645
_cell_length_c 8.393
_cell_angle_alpha 77.46
_cell_angle_beta 77.46
_cell_angle_gamma 90.00
_symmetry_space_group_name_H-M 'P 1'
_symmetry_Int_Tables_number 1
_symmetry_space_group_name_Hall 'P 1'
loop_
_atom_site_label
_atom_site_type_symbol
_atom_site_fract_x
_atom_site_fract_y
_atom_site_fract_z
Tc1 Tc 0.250 0.750 0.500
F1 F 0.100 0.625 0.250
W1 W 0.750 0.250 0.500
Tc2 Tc 0.500 0.500 0.000
F2 F 0.650 0.125 0.250
F3 F 0.875 0.900 0.750
F4 F 0.375 0.350 0.750
W2 W 0.000 0.000 0.000
```

=====

No. 14
Density functional theory data (PBE with a Hubbard U) for crystalline YTcW2F at its relaxed geometry.

CIF file:
```
data_YTcW2F
_chemical_formula_sum 'Y1 Tc1 W2 F1'
_cell_length_a 5.953
_cell_length_b 4.839
_cell_length_c 5.953
_cell_angle_alpha 90.00
_cell_angle_beta 90.00
_cell_angle_gamma 90.00
_symmetry_space_group_name_H-M 'P 1'
_symmetry_Int_Tables_number 1
_symmetry_space_group_name_Hall 'P 1'
loop_
_atom_site_label
_atom_site_type_symbol
_atom_site_fract_x
_atom_site_fract_y
_atom_site_fract_z
Y1 Y 0.000 0.000 0.000
W1 W 0.500 0.000 0.000
Tc1 Tc 0.000 0.500 0.000
W2 W 0.000 0.000 0.500
F1 F 0.500 0.500 0.500
```

=====

| no. | DOS at the Fermi energy (states/eV/f.u.) | energy (eV/atom) |
| --- | --- | --- |
| 1 | 3.99 | -6.39 |
| 2 | 2.54 | -5.62 |
| 3 | 2.62 | -6.93 |
| 4 | 3.26 | -5.87 |
| 5 | 10.76 | -5.25 |
| 6 | 2.11 | -5.90 |
| 7 | 1.69 | -6.13 |
| 8 | 4.07 | -7.01 |
| 9 | 3.62 | -4.80 |
| 10 | 3.58 | -5.59 |
| 11 | 3.13 | -5.50 |
| 12 | 3.68 | -4.83 |
| 13 | 2.40 | -5.43 |
| 14 | 3.78 | -4.32 |